# meta-GGA SCAN ThAlPd, single point on PBEsol structure
# Volume   20.75 Å³ per atom
# Total magnetic moment   0.000 Bohr magnetons per cell
# Theoretical density   9.75 g cm⁻³
# Energy of formation   -2.63 eV per formula unit
data_ThAlPd
_chemical_formula_sum 'Th3 Al3 Pd3'
_symmetry_space_group_name_H-M 'P -6 2 m'
_symmetry_Int_Tables_number 189
_symmetry_space_group_name_Hall 'P -6 -2'
_cell_length_a 7.1580
_cell_length_b 7.1580
_cell_length_c 4.2080
_cell_angle_alpha 90.00
_cell_angle_beta 90.00
_cell_angle_gamma 120.00
loop_
_atom_site_label
_atom_site_type_symbol
_atom_site_fract_x
_atom_site_fract_y
_atom_site_fract_z
_atom_site_occupancy
Th1 Th 0.0000 0.4220 0.0000 1
Al1 Al 0.0000 0.7679 0.5000 1
Pd1 Pd 0.0000 0.0000 0.0000 1
Pd2 Pd 0.3333 0.6667 0.5000 1